A plane-wave DFT calculation with PBE was carried out for crystalline Y2NiAu at its relaxed geometry.

The structure in POSCAR format:
```
Y2NiAu
1.0
4.007 -0.030 0.019
2.024 3.459 0.019
1.984 1.128 6.914
Au Ni Y
1 1 2
direct
0.250 0.250 0.250
0.750 0.750 0.750
0.009 0.009 0.974
0.491 0.491 0.526
```

**SG**: C2/m (12)
**Total moment**: 0.0 μB per cell
**Calculated volume**: 24.024 A^3/atom
**Total DFT energy (no corrections)**: -5.9923 eV per atom
**Energy of formation**: -0.496 eV per atom